4
Lattice="2.803 0.000 0.000 0.000 2.803 0.000 0.000 0.000 7.653" Properties=species:S:1:pos:R:3 comment="InReRh2 (PBEsol, relaxed)" crystal_system=tetragonal n_ef_per_ev_atom=0.538 formation_energy_mev_per_atom=-201.3 pbc="T T T"
In 0.000 0.000 0.000
Re 0.000 0.000 3.826
Rh 1.401 1.401 2.051
Rh 1.401 1.401 5.602



4
Lattice="4.024 0.000 0.000 0.000 4.024 0.000 0.000 0.000 3.746" Properties=species:S:1:pos:R:3 comment="InReRh2 (PBEsol, relaxed)" crystal_system=tetragonal n_ef_per_ev_atom=1.489 formation_energy_mev_per_atom=249.8 pbc="T T T"
In 0.000 0.000 0.000
Re 2.012 2.012 0.000
Rh 0.000 2.012 1.873
Rh 2.012 0.000 1.873



4
Lattice="-1.942 2.103 3.809 1.942 -2.103 3.809 1.942 2.103 -3.809" Properties=species:S:1:pos:R:3 comment="InRe2Rh (PBEsol, relaxed)" crystal_system=orthorhombic n_ef_per_ev_atom=0.734 formation_energy_mev_per_atom=308.8 pbc="T T T"
In 0.000 0.000 0.000
Re 1.942 0.000 1.978
Re 0.000 0.000 3.608
Rh 0.000 2.103 1.885



4
Lattice="3.711 0.000 0.000 0.000 3.711 0.000 0.000 0.000 4.490" Properties=species:S:1:pos:R:3 comment="InRe2Rh (PBEsol, relaxed)" crystal_system=tetragonal n_ef_per_ev_atom=0.670 formation_energy_mev_per_atom=343.3 pbc="T T T"
In 0.000 0.000 0.000
Re 0.000 1.856 2.245
Re 1.856 0.000 2.245
Rh 1.856 1.856 0.000